Entry 1:
Entry from the Alexandria database: SrCuSe at its PBEsol-relaxed geometry (SCAN). Values from VASP.

Cell and atoms, written as Quantum ESPRESSO input:
```
&SYSTEM
  ibrav = 0, nat = 3, ntyp = 3
/
ATOMIC_SPECIES
Cu 63.55 Cu.upf
Se 78.96 Se.upf
Sr 87.62 Sr.upf
CELL_PARAMETERS angstrom
4.8745 0.0000 0.0000
2.4372 4.2214 0.0000
2.4372 1.4071 3.9800
ATOMIC_POSITIONS crystal
Cu 0.0000 0.0000 0.0000
Se 0.5000 0.5000 0.5000
Sr 0.7500 0.7500 0.7500
```

Entry 2:
Entry from the Alexandria database: ReN2 at its PBEsol-relaxed geometry (SCAN). Values from VASP.

Cell and atoms, written as Quantum ESPRESSO input:
```
&SYSTEM
  ibrav = 0, nat = 12, ntyp = 2
/
ATOMIC_SPECIES
Re 186.21 Re.upf
N 14.01 N.upf
CELL_PARAMETERS angstrom
2.8279 0.0000 0.0000
0.0000 4.1237 0.0000
0.0000 0.0000 9.5125
ATOMIC_POSITIONS crystal
Re 0.7500 0.3997 0.6090
Re 0.7500 0.1003 0.1090
Re 0.2500 0.6003 0.3910
Re 0.2500 0.8997 0.8910
N 0.2500 0.0431 0.6744
N 0.2500 0.4569 0.1744
N 0.7500 0.9569 0.3256
N 0.7500 0.5431 0.8256
N 0.2500 0.7607 0.5949
N 0.2500 0.7393 0.0949
N 0.7500 0.2393 0.4051
N 0.7500 0.2607 0.9051
```

Entry 3:
Entry from the Alexandria database: Li2FeTcF at its PBEsol-relaxed geometry (SCAN). Values from VASP.

Cell and atoms, written as Quantum ESPRESSO input:
```
&SYSTEM
  ibrav = 0, nat = 5, ntyp = 4
/
ATOMIC_SPECIES
F 19.00 F.upf
Li 6.94 Li.upf
Tc 98.00 Tc.upf
Fe 55.84 Fe.upf
CELL_PARAMETERS angstrom
-0.1267 2.0788 2.8596
1.9963 -3.4631 2.6060
4.3308 1.7070 -1.0490
ATOMIC_POSITIONS crystal
F 0.5000 0.0000 0.0000
Li 0.0000 0.0000 0.5000
Li 0.0000 0.5000 0.0000
Tc 0.5000 0.5000 0.5000
Fe 0.0000 0.0000 0.0000
```

Entry 4:
Entry from the Alexandria database: LaMnHg2Sb at its PBEsol-relaxed geometry (SCAN). Values from VASP.

Cell and atoms, written as Quantum ESPRESSO input:
```
&SYSTEM
  ibrav = 0, nat = 5, ntyp = 4
/
ATOMIC_SPECIES
Sb 121.76 Sb.upf
Mn 54.94 Mn.upf
Hg 200.59 Hg.upf
La 138.91 La.upf
CELL_PARAMETERS angstrom
-2.5524 1.1657 -3.7189
-4.5274 -2.7979 2.2304
-1.6753 4.8360 2.6657
ATOMIC_POSITIONS crystal
Sb 0.5000 0.5000 0.5000
Mn 0.5000 0.0000 0.0000
Hg 0.0000 0.0000 0.5000
Hg 0.0000 0.5000 0.0000
La 0.0000 0.0000 0.0000
```

Entry 5:
Entry from the Alexandria database: Be3FeCu at its PBEsol-relaxed geometry (SCAN). Values from VASP.

Values from the calculation:
- Energy of formation: 0.8970 eV/atom

Cell and atoms, written as Quantum ESPRESSO input:
```
&SYSTEM
  ibrav = 0, nat = 5, ntyp = 3
/
ATOMIC_SPECIES
Be 9.01 Be.upf
Fe 55.84 Fe.upf
Cu 63.55 Cu.upf
CELL_PARAMETERS angstrom
-1.7790 0.4169 3.3889
0.5076 -3.7465 0.7273
3.3765 0.7828 1.6761
ATOMIC_POSITIONS crystal
Be 0.0000 0.5000 0.0000
Be 0.0000 0.0000 0.5000
Be 0.5000 0.0000 0.0000
Fe 0.0000 0.0000 0.0000
Cu 0.5000 0.5000 0.5000
```

Entry 6:
Entry from the Alexandria database: ZnAgAu2 at its PBEsol-relaxed geometry (SCAN). Values from VASP.

Values from the calculation:
- Energy of formation: -0.0760 eV/atom

Cell and atoms, written as Quantum ESPRESSO input:
```
&SYSTEM
  ibrav = 0, nat = 4, ntyp = 3
/
ATOMIC_SPECIES
Zn 65.41 Zn.upf
Au 196.97 Au.upf
Ag 107.87 Ag.upf
CELL_PARAMETERS angstrom
2.8883 0.0105 -0.0075
1.4533 2.4961 -0.0075
1.4241 0.8222 8.9638
ATOMIC_POSITIONS crystal
Zn 0.5001 0.5001 0.4994
Au 0.9993 0.9993 0.0025
Au 0.7550 0.7550 0.7342
Ag 0.2457 0.2457 0.2640
```

Entry 7:
Entry from the Alexandria database: CoRhOF2 at its PBEsol-relaxed geometry (SCAN). Values from VASP.

Cell and atoms, written as Quantum ESPRESSO input:
```
&SYSTEM
  ibrav = 0, nat = 5, ntyp = 4
/
ATOMIC_SPECIES
Co 58.93 Co.upf
Rh 102.91 Rh.upf
O 16.00 O.upf
F 19.00 F.upf
CELL_PARAMETERS angstrom
3.6261 0.0000 0.0000
0.0000 4.2547 0.0000
0.0000 0.0000 4.2547
ATOMIC_POSITIONS crystal
Co 0.5000 0.5000 0.5000
Rh 0.0000 0.0000 0.0000
O 0.5000 0.0000 0.0000
F 0.0000 0.0000 0.5000
F 0.0000 0.5000 0.0000
```

Entry 8:
Entry from the Alexandria database: Cu2SiS3 at its PBEsol-relaxed geometry (SCAN). Values from VASP.

Cell and atoms, written as Quantum ESPRESSO input:
```
&SYSTEM
  ibrav = 0, nat = 12, ntyp = 3
/
ATOMIC_SPECIES
S 32.06 S.upf
Si 28.09 Si.upf
Cu 63.55 Cu.upf
CELL_PARAMETERS angstrom
-4.9351 3.7833 -0.6999
-4.2759 -1.4651 4.3339
4.4141 4.3429 1.2992
ATOMIC_POSITIONS crystal
S 0.1403 0.6263 0.8463
S 0.1160 0.2961 0.1698
S 0.6160 0.1263 0.8302
S 0.1170 0.9473 0.4823
S 0.6403 0.7800 0.1537
S 0.6170 0.4650 0.5177
Si 0.0181 0.6511 0.1707
Si 0.5181 0.4804 0.8293
Cu 0.9969 0.0015 0.8266
Cu 0.9954 0.3432 0.5123
Cu 0.4969 0.1749 0.1734
Cu 0.4954 0.8309 0.4877
```

Entry 9:
Entry from the Alexandria database: BeCu3 at its PBEsol-relaxed geometry (SCAN). Values from VASP.

Values from the calculation:
- Energy of formation: -0.1006 eV/atom

Cell and atoms, written as Quantum ESPRESSO input:
```
&SYSTEM
  ibrav = 0, nat = 4, ntyp = 2
/
ATOMIC_SPECIES
Be 9.01 Be.upf
Cu 63.55 Cu.upf
CELL_PARAMETERS angstrom
-0.5867 2.2321 -1.1757
0.5490 -1.0624 -2.2910
-5.8638 -1.8336 -0.5550
ATOMIC_POSITIONS crystal
Be 0.0000 0.0000 0.0000
Cu 0.5000 0.5000 0.7782
Cu 0.0000 0.0000 0.5000
Cu 0.5000 0.5000 0.2218
```

Entry 10:
Entry from the Alexandria database: SbI2ClF at its PBEsol-relaxed geometry (SCAN). Values from VASP.

Cell and atoms, written as Quantum ESPRESSO input:
```
&SYSTEM
  ibrav = 0, nat = 5, ntyp = 4
/
ATOMIC_SPECIES
I 126.90 I.upf
Sb 121.76 Sb.upf
F 19.00 F.upf
Cl 35.45 Cl.upf
CELL_PARAMETERS angstrom
4.1947 0.0000 0.0000
0.0000 5.7501 0.0000
0.0000 0.0000 5.7501
ATOMIC_POSITIONS crystal
I 0.0000 0.0000 0.5000
I 0.0000 0.5000 0.0000
Sb 0.5000 0.0000 0.0000
F 0.0000 0.0000 0.0000
Cl 0.5000 0.5000 0.5000
```

Entry 11:
Entry from the Alexandria database: YPRuS2 at its PBEsol-relaxed geometry (SCAN). Values from VASP.

Cell and atoms, written as Quantum ESPRESSO input:
```
&SYSTEM
  ibrav = 0, nat = 5, ntyp = 4
/
ATOMIC_SPECIES
Y 88.91 Y.upf
Ru 101.07 Ru.upf
S 32.06 S.upf
P 30.97 P.upf
CELL_PARAMETERS angstrom
-3.0320 -3.9899 -0.3396
2.1309 -1.9683 4.1004
-3.4860 2.3970 2.9623
ATOMIC_POSITIONS crystal
Y 0.0000 0.0000 0.0000
Ru 0.5000 0.5000 0.5000
S 0.0000 0.5000 0.0000
S 0.5000 0.0000 0.0000
P 0.0000 0.0000 0.5000
```

Entry 12:
Entry from the Alexandria database: CoTeS2 at its PBEsol-relaxed geometry (SCAN). Values from VASP.

Cell and atoms, written as Quantum ESPRESSO input:
```
&SYSTEM
  ibrav = 0, nat = 4, ntyp = 3
/
ATOMIC_SPECIES
S 32.06 S.upf
Te 127.60 Te.upf
Co 58.93 Co.upf
CELL_PARAMETERS angstrom
-1.9266 0.2995 -2.7577
1.1313 -1.1171 -2.9797
-3.2825 -7.0018 -0.5352
ATOMIC_POSITIONS crystal
S 0.8817 0.8817 0.3548
S 0.1183 0.1183 0.6452
Te 0.0000 0.0000 0.0000
Co 0.5000 0.5000 0.5000
```

The evaluated DFT total energy for the records listed, in turn: -58.8 -356.2 -59.2 -230.3 -41.9 -183.5 -66.8 -145.1 -50.4 -122.8 -89.1 -75.0 eV for the cell shown.
The evaluated magnetization for the records listed, in turn: 0.0 0.0 6.2 2.7 0.0 0.0 3.3 0.0 0.0 1.3 4.2 0.0 μB/f.u..